Below is a relaxed PrPuIr crystal, with properties calculated at the GGA-PBE level.

Its formation enthalpy at 0 K is -0.39 eV per atom.

The structure belongs to space group F-43m (No. 216); the cell edges are 6.848, 6.848 and 6.848 Å and the angles 90.00°, 90.00° and 90.00°. The inequivalent atoms are Pr at (0.000, 0.000, 0.000), Pu at (0.000, 0.000, 0.500) and Ir at (0.250, 0.250, 0.750).

---

Below is a relaxed KDyAlSe3 crystal, with properties calculated at the GGA-PBE level.

The calculation puts the total energy at -4.573 eV/atom.

The structure belongs to space group Cmcm (No. 63); the cell edges are 4.287, 14.731 and 10.997 Å and the angles 90.00°, 90.00° and 90.00°. The inequivalent atoms are K at (0.000, 0.244, 0.250), Dy at (0.000, 0.500, 0.000), Al at (0.000, 0.029, 0.750), Se at (0.000, 0.127, 0.572) and Se at (0.000, 0.440, 0.750).

---

Below is a relaxed TmTaN2O crystal, with properties calculated at the GGA-PBE level.

The calculation puts the total energy at -9.564 eV/atom.

The structure belongs to space group P2_1/c (No. 14); the cell edges are 7.831, 7.832 and 10.899 Å and the angles 90.00°, 133.63° and 90.00°. The inequivalent atoms are Tm at (0.058, 0.239, 0.029), Tm at (0.440, 0.740, 0.470), Ta at (0.019, 0.004, 0.262), Ta at (0.483, 0.506, 0.230), N at (0.039, 0.750, 0.218), N at (0.182, 0.559, 0.000), N at (0.309, 0.056, 0.310), N at (0.459, 0.247, 0.678), O at (0.188, 0.550, 0.499) and O at (0.322, 0.048, 0.823).

---

Below is a relaxed Li2CdPd crystal, with properties calculated at the GGA-PBE level.

The calculation puts the total energy at -2.874 eV/atom.

The structure belongs to space group P-4m2 (No. 115); the cell edges are 4.462, 4.462 and 6.387 Å and the angles 90.00°, 90.00° and 90.00°. The inequivalent atoms are Li at (0.000, 0.000, 0.000), Li at (0.000, 0.500, 0.250), Li at (0.500, 0.500, 0.500), Cd at (0.000, 0.000, 0.500), Cd at (0.500, 0.500, 0.000) and Pd at (0.000, 0.500, 0.749).

---

Below is a relaxed YHoFe2 crystal, with properties calculated at the GGA-PBE level.

Its formation enthalpy at 0 K is -0.02 eV per atom.

The structure belongs to space group Pmc2_1 (No. 26); the cell edges are 3.815, 5.516 and 7.719 Å and the angles 90.00°, 90.00° and 90.00°. The inequivalent atoms are Y at (0.000, 0.142, 0.000), Ho at (0.500, 0.358, 0.646), Fe at (0.000, 0.331, 0.350) and Fe at (0.500, 0.179, 0.298).

---

Below is a relaxed GdThMg crystal, with properties calculated at the GGA-PBE level.

The calculation puts the total energy at -4.007 eV/atom.

The structure belongs to space group F-43m (No. 216); the cell edges are 7.392, 7.392 and 7.392 Å and the angles 90.00°, 90.00° and 90.00°. The inequivalent atoms are Gd at (0.000, 0.000, 0.000), Th at (0.000, 0.000, 0.500) and Mg at (0.250, 0.250, 0.250).